No. 1
# SrDyB4

An optimized crystal structure of SrDyB4 (PBE, OQMD via LeMat-Bulk).

energy: -34.14 eV for the cell shown
E above lowest polymorph: 0.000 eV/atom

Lattice parameters (Å, degrees): 3.3157 3.3157 8.2252 90.00 90.00 120.00
Element x y z (fractional)
B  0.6667  0.3333  0.7299
B  0.3333  0.6667  0.2701
B  0.6667  0.3333  0.2701
B  0.3333  0.6667  0.7299
Dy  0.0000  0.0000  0.5000
Sr  0.0000  0.0000  0.0000

No. 2
# SrDyB4

An optimized crystal structure of SrDyB4 (PBE, OQMD via LeMat-Bulk).

energy: -33.67 eV for the cell shown
E above lowest polymorph: 0.079 eV/atom

Lattice parameters (Å, degrees): 5.3246 5.3246 5.3246 144.94 111.83 79.03
Element x y z (fractional)
Dy  0.0000  0.0000  0.0000
B  0.5725  0.2562  0.3163
B  0.4275  0.7438  0.6837
B  0.9399  0.2562  0.6837
B  0.0601  0.7438  0.3163
Sr  0.5000  0.5000  0.0000

- energy of number 1 (SrDyB4)?
  -34.14 eV for the cell shown

- Which of these has the highest energy?
  number 2